Record 1
NdTm2Ni9: relaxed, PBE-GGA.

Energy of formation, meV per atom: -414
M_tot, μB/cell: 2.84

a = 4.9551 Å, b = 4.9551 Å, c = 24.1174 Å
α = 90.00°, β = 90.00°, γ = 120.00°
Space group R-3m (No. 166, hexagonal axes)
Unique sites:
Nd: 0.0000 0.0000 0.0000 (multiplicity 3)
Tm: 0.0000 0.0000 0.1402 (multiplicity 6)
Ni: 0.0000 0.0000 0.3331 (multiplicity 6)
Ni: 0.0000 0.0000 0.5000 (multiplicity 3)
Ni: 0.0019 0.5009 0.9162 (multiplicity 18)

Record 2
NdTmNi4: relaxed, PBE-GGA.

Energy of formation, meV per atom: -67
M_tot, μB/cell: 0.01
Distance to the lowest polymorph of the same formula, meV per atom: 335

a = 5.3968 Å, b = 5.3968 Å, c = 7.9629 Å
α = 90.00°, β = 90.00°, γ = 120.00°
Space group P6/mmm (No. 191)
Unique sites:
Nd: 0.0000 0.0000 0.0000 (multiplicity 1)
Nd: 0.0000 0.0000 0.5000 (multiplicity 1)
Tm: 0.3333 0.6667 0.0000 (multiplicity 2)
Ni: 0.0000 0.5000 0.2703 (multiplicity 6)
Ni: 0.3333 0.6667 0.5000 (multiplicity 2)

> Among the records above, which one has the lowest energy of formation?

NdTm2Ni9

> Which value of energy of formation does entry 1 give?

-414 meV per atom

> What is the energy of formation in the first record?

-414 meV per atom

What did the first record say?
NdTm2Ni9: relaxed, PBE-GGA.

Energy of formation, meV per atom: -414
M_tot, μB/cell: 2.84

a = 4.9551 Å, b = 4.9551 Å, c = 24.1174 Å
α = 90.00°, β = 90.00°, γ = 120.00°
Space group R-3m (No. 166, hexagonal axes)
Unique sites:
Nd: 0.0000 0.0000 0.0000 (multiplicity 3)
Tm: 0.0000 0.0000 0.1402 (multiplicity 6)
Ni: 0.0000 0.0000 0.3331 (multiplicity 6)
Ni: 0.0000 0.0000 0.5000 (multiplicity 3)
Ni: 0.0019 0.5009 0.9162 (multiplicity 18)